A relaxed Sc2AlCl crystal. Source: Alexandria, functional PBEsol.

Lattice parameters (Å, degrees): 9.8409 9.8409 9.8409 18.38 18.38 18.38
Closest atoms and distances in Å follow each position.
Sites, in units of the cell vectors:
Sc 0.0976 0.0976 0.0976  3 Cl 2.70, 1 Al 2.83
Sc 0.9024 0.9024 0.9024  3 Cl 2.70, 1 Al 2.83
Al 0.0000 0.0000 0.0000  2 Sc 2.83, 6 Al 3.14
Cl 0.5000 0.5000 0.5000  6 Sc 2.70

Results
theoretical density = 3.06 g/cm³
D(E_F) = 1.206 states/eV/atom
total magnetization = 0.0 μB per formula unit
total DFT energy (no corrections) = -5.16 eV per atom
space group = R-3m (166)

---

A relaxed TaSeIBr2 crystal. Source: Alexandria, functional PBEsol.

Lattice parameters (Å, degrees): 5.5072 5.5072 5.4570 90.00 90.00 90.00
Closest atoms and distances in Å follow each position.
Sites, in units of the cell vectors:
Ta 0.0000 0.0000 0.0000  8 Br 3.88, 4 Se 3.89
Se 0.5000 0.5000 0.0000  2 I 2.73
I 0.5000 0.5000 0.5000  2 Se 2.73, 4 Br 2.75
Br 0.0000 0.5000 0.5000  2 I 2.75
Br 0.5000 0.0000 0.5000  2 I 2.75

Results
theoretical density = 5.48 g/cm³
D(E_F) = 1.872 states/eV/atom
total magnetization = 3.7 μB per formula unit
total DFT energy (no corrections) = -2.88 eV per atom
space group = P4/mmm (123)

---

A relaxed K2AgBiBr6 crystal. Source: Alexandria, functional PBEsol.

Lattice parameters (Å, degrees): 7.8544 7.8544 7.8544 60.00 60.00 60.00
Closest atoms and distances in Å follow each position.
Sites, in units of the cell vectors:
K 0.2500 0.2500 0.2500  12 Br 3.93
K 0.7500 0.7500 0.7500  12 Br 3.93
Ag 0.0000 0.0000 0.0000  6 Br 2.73
Bi 0.5000 0.5000 0.5000  6 Br 2.83
Br 0.2455 0.2455 0.7545  1 Ag 2.73, 1 Bi 2.83
Br 0.2455 0.7545 0.2455  1 Ag 2.73, 1 Bi 2.83
Br 0.2455 0.7545 0.7545  1 Ag 2.73, 1 Bi 2.83
Br 0.7545 0.2455 0.2455  1 Ag 2.73, 1 Bi 2.83
Br 0.7545 0.2455 0.7545  1 Ag 2.73, 1 Bi 2.83
Br 0.7545 0.7545 0.2455  1 Ag 2.73, 1 Bi 2.83

Results
theoretical density = 4.24 g/cm³
total magnetization = 0.0 μB per formula unit
total DFT energy (no corrections) = -3.12 eV per atom
space group = Fm-3m (225)

---

A relaxed K2SiRu crystal. Source: Alexandria, functional PBEsol.

Lattice parameters (Å, degrees): 3.0491 3.6231 9.9437 90.00 90.00 90.00
Closest atoms and distances in Å follow each position.
Sites, in units of the cell vectors:
K 0.0000 0.0000 0.0000  2 K 3.05, 1 Si 3.11
K 0.5000 0.5000 0.4143  2 K 3.05, 1 Ru 3.08
Si 0.0000 0.0000 0.6868  4 Ru 2.40
Ru 0.5000 0.5000 0.7238  4 Si 2.40

Results
theoretical density = 3.13 g/cm³
D(E_F) = 0.522 states/eV/atom
total magnetization = 0.0 μB per formula unit
total DFT energy (no corrections) = -4.37 eV per atom
space group = Pmm2 (25)

---

A relaxed Li6CuO4 crystal. Source: Alexandria, functional PBEsol.

Lattice parameters (Å, degrees): 6.5408 6.5408 4.5152 90.00 90.00 90.00
Closest atoms and distances in Å follow each position.
Sites, in units of the cell vectors:
Li 0.0330 0.5330 0.2500  4 O 2.01-2.05
Li 0.0330 0.9670 0.2500  4 O 2.01-2.05
Li 0.2500 0.2500 0.1842  4 O 1.86-1.92
Li 0.2500 0.2500 0.6842  4 O 1.86-1.92
Li 0.4670 0.5330 0.2500  4 O 2.01-2.05
Li 0.4670 0.9670 0.2500  4 O 2.01-2.05
Li 0.5330 0.0330 0.7500  4 O 2.01-2.05
Li 0.5330 0.4670 0.7500  4 O 2.01-2.05
Li 0.7500 0.7500 0.3158  4 O 1.86-1.92
Li 0.7500 0.7500 0.8158  4 O 1.86-1.92
Li 0.9670 0.0330 0.7500  4 O 2.01-2.05
Li 0.9670 0.4670 0.7500  4 O 2.01-2.05
Cu 0.2500 0.7500 0.7500  4 O 1.96
Cu 0.7500 0.2500 0.2500  4 O 1.96
O 0.0177 0.2500 0.4449  6 Li 1.86-2.05, 1 Cu 1.96
O 0.2500 0.0177 0.9449  6 Li 1.86-2.05, 1 Cu 1.96
O 0.2500 0.4823 0.9449  6 Li 1.86-2.05, 1 Cu 1.96
O 0.4823 0.2500 0.4449  6 Li 1.86-2.05, 1 Cu 1.96
O 0.5177 0.7500 0.5551  6 Li 1.86-2.05, 1 Cu 1.96
O 0.7500 0.5177 0.0551  6 Li 1.86-2.05, 1 Cu 1.96
O 0.7500 0.9823 0.0551  6 Li 1.86-2.05, 1 Cu 1.96
O 0.9823 0.7500 0.5551  6 Li 1.86-2.05, 1 Cu 1.96

Results
theoretical density = 2.91 g/cm³
D(E_F) = 0.095 states/eV/atom
total magnetization = 1.0 μB per formula unit
total DFT energy (no corrections) = -4.97 eV per atom
space group = P4_2/nmc (137)

---

A relaxed Cu2GeTe3 crystal. Source: Alexandria, functional PBEsol.

Lattice parameters (Å, degrees): 7.2428 7.2428 7.2428 145.75 60.03 132.30
Closest atoms and distances in Å follow each position.
Sites, in units of the cell vectors:
Cu 0.1676 0.0000 0.1676  4 Te 2.53-2.54
Cu 0.8324 0.0000 0.8324  4 Te 2.53-2.54
Ge 0.5234 0.0234 0.5000  4 Te 2.62-2.70
Te 0.2413 0.2413 0.0000  2 Cu 2.53, 2 Ge 2.70
Te 0.5953 0.2694 0.3259  3 Cu 2.53-2.54, 1 Ge 2.62
Te 0.9435 0.2694 0.6741  3 Cu 2.53-2.54, 1 Ge 2.62

Results
theoretical density = 6.17 g/cm³
D(E_F) = 0.186 states/eV/atom
total magnetization = 0.0 μB per formula unit
total DFT energy (no corrections) = -4.08 eV per atom
space group = Imm2 (44)

---

A relaxed TiAgAsSe2 crystal. Source: Alexandria, functional PBEsol.

Lattice parameters (Å, degrees): 4.9376 4.9376 4.8244 90.00 90.00 90.00
Closest atoms and distances in Å follow each position.
Sites, in units of the cell vectors:
Ti 0.0000 0.0000 0.0000  8 Se 3.45, 4 As 3.49
Ag 0.5000 0.5000 0.5000  2 As 2.41, 4 Se 2.47
As 0.5000 0.5000 0.0000  2 Ag 2.41
Se 0.0000 0.5000 0.5000  2 Ag 2.47
Se 0.5000 0.0000 0.5000  2 Ag 2.47

Results
theoretical density = 5.49 g/cm³
D(E_F) = 1.436 states/eV/atom
total magnetization = 1.2 μB per formula unit
total DFT energy (no corrections) = -4.19 eV per atom
space group = P4/mmm (123)

---

A relaxed Li2TcBr crystal. Source: Alexandria, functional PBEsol.

Lattice parameters (Å, degrees): 2.8565 4.4307 5.2822 90.00 105.14 90.00
Closest atoms and distances in Å follow each position.
Sites, in units of the cell vectors:
Li 0.0000 0.0000 0.0000  3 Br 2.65-2.86, 2 Li 2.86, 4 Tc 2.89-2.90
Li 0.3423 0.5000 0.7069  3 Tc 2.68-2.81, 2 Li 2.86, 4 Br 2.97
Tc 0.6156 0.5000 0.2333  2 Br 2.45, 1 Li 2.68
Br 0.7144 0.0000 0.4386  2 Tc 2.45, 2 Li 2.65-2.66

Results
theoretical density = 4.94 g/cm³
D(E_F) = 0.480 states/eV/atom
total magnetization = 0.0 μB per formula unit
total DFT energy (no corrections) = -4.05 eV per atom
space group = Pm (6)

---

A relaxed GaTc crystal. Source: Alexandria, functional PBEsol.

Lattice parameters (Å, degrees): 2.8249 2.8249 4.1008 90.00 90.00 120.00
Closest atoms and distances in Å follow each position.
Sites, in units of the cell vectors:
Ga 0.0000 0.0000 0.0000  6 Tc 2.62, 6 Ga 2.82
Tc 0.3333 0.6667 0.5000  6 Ga 2.62, 6 Tc 2.82

Results
formation energy from the elements = -0.2 eV/f.u.
theoretical density = 9.83 g/cm³
D(E_F) = 0.807 states/eV/atom
total magnetization = 0.0 μB per formula unit
total DFT energy (no corrections) = -7.41 eV per atom
space group = P-6m2 (187)

---

A relaxed NaZnP2S crystal. Source: Alexandria, functional PBEsol.

Lattice parameters (Å, degrees): 4.5864 4.5864 4.9377 90.00 90.00 90.00
Closest atoms and distances in Å follow each position.
Sites, in units of the cell vectors:
Na 0.0000 0.0000 0.0000  4 S 3.24, 8 P 3.37
Zn 0.5000 0.5000 0.5000  4 P 2.29, 2 S 2.47
P 0.0000 0.5000 0.5000  2 Zn 2.29
P 0.5000 0.0000 0.5000  2 Zn 2.29
S 0.5000 0.5000 0.0000  2 Zn 2.47

Results
theoretical density = 2.92 g/cm³
D(E_F) = 0.823 states/eV/atom
total magnetization = 0.0 μB per formula unit
total DFT energy (no corrections) = -3.35 eV per atom
space group = P4/mmm (123)

---

A relaxed BaPRu2 crystal. Source: Alexandria, functional PBEsol.

Lattice parameters (Å, degrees): 3.8081 3.8081 5.8508 90.00 90.00 90.00
Closest atoms and distances in Å follow each position.
Sites, in units of the cell vectors:
Ba 0.0000 0.0000 0.0000  4 P 3.22, 8 Ru 3.40-3.58
P 0.5000 0.5000 0.3012  4 Ru 2.29
Ru 0.0000 0.5000 0.5178  2 P 2.29
Ru 0.5000 0.0000 0.5178  2 P 2.29

Results
formation energy from the elements = -0.3 eV/f.u.
theoretical density = 7.25 g/cm³
D(E_F) = 0.840 states/eV/atom
total magnetization = 0.0 μB per formula unit
total DFT energy (no corrections) = -7.15 eV per atom
space group = P4mm (99)

---

A relaxed PPtCl2 crystal. Source: Alexandria, functional PBEsol.

Lattice parameters (Å, degrees): 3.6547 3.6547 7.6996 93.78 93.78 57.43
Closest atoms and distances in Å follow each position.
Sites, in units of the cell vectors:
P 0.0000 0.0000 0.0000  1 Cl 2.02
Pt 0.6783 0.6783 0.1239  3 P 2.27-2.34, 2 Cl 2.51
Cl 0.2486 0.2486 0.3530  2 Pt 2.51
Cl 0.9716 0.9716 0.7372  1 P 2.02

Results
theoretical density = 5.71 g/cm³
D(E_F) = 0.244 states/eV/atom
total magnetization = 0.0 μB per formula unit
total DFT energy (no corrections) = -4.77 eV per atom
space group = Cm (8)